Material: LiYI3
Method: DFT, PBE-GGA
State: optimized geometry

Values from the calculation:
DFT total energy = -3.448 eV/atom
Formation energy without anion corrections = -0.842 eV per atom
SG = No. 221

Cell lengths 6.0354, 6.0354, 6.0354 Å; angles 90.00, 90.00, 90.00 degrees
Last column: nearest neighbours and their distance in Å.
Element x y z (fractional)
Li  0.0000  0.0000  0.0000  12 I 4.27
Y  0.5000  0.5000  0.5000  6 I 3.02
I  0.0000  0.5000  0.5000  2 Y 3.02
I  0.5000  0.0000  0.5000  2 Y 3.02
I  0.5000  0.5000  0.0000  2 Y 3.02

---

Material: LiYI3
Method: DFT, PBE-GGA
State: optimized geometry

Values from the calculation:
DFT total energy = -3.797 eV/atom
Formation energy without anion corrections = -1.191 eV per atom
SG = No. 11

Cell lengths 8.0864, 4.2394, 10.6419 Å; angles 90.00, 94.30, 90.00 degrees
Last column: nearest neighbours and their distance in Å.
Element x y z (fractional)
Li  0.1069  0.2500  0.3903  4 I 2.77-2.85
Li  0.8931  0.7500  0.6097  4 I 2.77-2.85
Y  0.4348  0.2500  0.8635  6 I 3.08-3.30
Y  0.5652  0.7500  0.1365  6 I 3.08-3.30
I  0.1082  0.2500  0.6582  3 Li 2.77-2.85
I  0.2199  0.7500  0.9932  3 Y 3.08-3.13
I  0.4339  0.2500  0.3205  1 Li 2.80, 2 Y 3.13
I  0.5661  0.7500  0.6795  1 Li 2.80, 2 Y 3.13
I  0.7801  0.2500  0.0068  3 Y 3.08-3.13
I  0.8918  0.7500  0.3418  3 Li 2.77-2.85

---

Material: LiY3I
Method: DFT, PBE-GGA
State: optimized geometry

Values from the calculation:
DFT total energy = -4.304 eV/atom
Formation energy without anion corrections = 0.268 eV per atom
ΔE to the lowest computed polymorph = 0 meV per atom
SG = No. 221

Cell lengths 5.3875, 5.3875, 5.3875 Å; angles 90.00, 90.00, 90.00 degrees
Last column: nearest neighbours and their distance in Å.
Element x y z (fractional)
Li  0.0000  0.0000  0.0000  6 Y 2.69
Y  0.0000  0.0000  0.5000  2 Li 2.69
Y  0.0000  0.5000  0.0000  2 Li 2.69
Y  0.5000  0.0000  0.0000  2 Li 2.69
I  0.5000  0.5000  0.5000  12 Y 3.81

---

Material: LiY2I
Method: DFT, PBE-GGA
State: optimized geometry

Values from the calculation:
DFT total energy = -4.095 eV/atom
Formation energy without anion corrections = 0.003 eV per atom
ΔE to the lowest computed polymorph = 83 meV per atom
SG = No. 122

Cell lengths 6.8185, 6.8185, 6.8185 Å; angles 103.73, 103.73, 121.69 degrees
Last column: nearest neighbours and their distance in Å.
Element x y z (fractional)
Li  0.0000  0.0000  0.0000  4 Y 3.12, 2 I 3.32
Li  0.7500  0.2500  0.5000  4 Y 3.12, 2 I 3.32
Y  0.1305  0.1250  0.5055  2 I 3.06, 2 Li 3.12, 2 Y 3.32
Y  0.3750  0.8695  0.9945  2 I 3.06, 2 Li 3.12, 2 Y 3.32
Y  0.6195  0.6250  0.4945  2 I 3.06, 2 Li 3.12, 2 Y 3.32
Y  0.8750  0.3805  0.0055  2 I 3.06, 2 Li 3.12, 2 Y 3.32
I  0.2500  0.7500  0.5000  4 Y 3.06, 2 Li 3.32
I  0.5000  0.5000  0.0000  4 Y 3.06, 2 Li 3.32

---

Material: Li3YI
Method: DFT, PBE-GGA
State: optimized geometry

Values from the calculation:
DFT total energy = -2.024 eV/atom
Formation energy without anion corrections = 0.727 eV per atom
ΔE to the lowest computed polymorph = 636 meV per atom
SG = No. 221

Cell lengths 6.0033, 6.0033, 6.0033 Å; angles 90.00, 90.00, 90.00 degrees
Last column: nearest neighbours and their distance in Å.
Element x y z (fractional)
Li  0.0000  0.0000  0.5000  2 Y 3.00
Li  0.0000  0.5000  0.0000  2 Y 3.00
Li  0.5000  0.0000  0.0000  2 Y 3.00
Y  0.0000  0.0000  0.0000  6 Li 3.00
I  0.5000  0.5000  0.5000  12 Li 4.24

---

Material: LiYI
Method: DFT, PBE-GGA
State: optimized geometry

Values from the calculation:
DFT total energy = -3.757 eV/atom
Formation energy without anion corrections = -0.448 eV per atom
SG = No. 12

Cell lengths 3.8858, 3.8858, 15.6883 Å; angles 96.75, 96.75, 60.04 degrees
Last column: nearest neighbours and their distance in Å.
Element x y z (fractional)
Li  0.1873  0.1873  0.0650  3 Li 3.02, 3 Y 3.32-3.33
Li  0.8127  0.8127  0.9350  3 Li 3.02, 3 Y 3.32-3.33
Y  0.0973  0.0973  0.7770  3 I 3.11, 3 Li 3.32-3.33
Y  0.9027  0.9027  0.2230  3 I 3.11, 3 Li 3.32-3.33
I  0.3869  0.3869  0.6387  3 Y 3.11
I  0.6131  0.6131  0.3613  3 Y 3.11

---

Material: Li3YI6
Method: DFT, PBE-GGA
State: optimized geometry

Values from the calculation:
DFT total energy = -3.352 eV/atom
Formation energy without anion corrections = -1.202 eV per atom
SG = No. 2

Cell lengths 8.4698, 8.4771, 8.4796 Å; angles 61.26, 61.38, 61.37 degrees
Last column: nearest neighbours and their distance in Å.
Element x y z (fractional)
Li  0.0000  0.0000  0.0000  4 I 2.79-3.03
Li  0.0000  0.5000  0.5000  4 I 2.79-3.03
Li  0.5000  0.0000  0.5000  6 I 3.02-3.04
Y  0.0000  0.5000  0.0000  6 I 3.03-3.04
I  0.2293  0.7712  0.7680  2 Li 2.79-3.04, 1 Y 3.03
I  0.2338  0.2726  0.2668  2 Li 2.79-3.04, 1 Y 3.03
I  0.2511  0.2490  0.7490  3 Li 3.02-3.03, 1 Y 3.04
I  0.7489  0.7510  0.2510  3 Li 3.02-3.03, 1 Y 3.04
I  0.7662  0.7274  0.7332  2 Li 2.79-3.04, 1 Y 3.03
I  0.7707  0.2288  0.2320  2 Li 2.79-3.04, 1 Y 3.03

---

Material: LiY2ZnI
Method: DFT, PBE-GGA
State: optimized geometry

Values from the calculation:
DFT total energy = -3.438 eV/atom
Formation energy without anion corrections = 0.095 eV per atom
SG = No. 123

Cell lengths 5.4613, 5.4613, 4.4522 Å; angles 90.00, 90.00, 90.00 degrees
Last column: nearest neighbours and their distance in Å.
Element x y z (fractional)
Li  0.0000  0.0000  0.0000  2 Zn 2.23
Y  0.0000  0.5000  0.0000  2 Li 2.73
Y  0.5000  0.0000  0.0000  2 Li 2.73
Zn  0.0000  0.0000  0.5000  2 Li 2.23
I  0.5000  0.5000  0.5000  8 Y 3.52, 4 Zn 3.86

---

> The highest DFT total energy belongs to which entry?

Li3YI